Material: SrZrP
Method: DFT, PBE
State: optimized geometry

Results
Energy above the lowest structure with this stoichiometry (meV per atom): 0
Symmetry: P3m1, No. 156

POSCAR file:
```
SrZrP
1.0
3.904 0.000 0.000
-1.952 3.381 0.000
0.000 0.000 6.440
Sr Zr P
1 1 1
Cartesian
0.000 0.000 0.000 Sr
0.000 2.254 3.183 Zr
1.952 1.127 4.405 P
```

=====

Material: SrZr2P
Method: DFT, PBE
State: optimized geometry

Results
Symmetry: P4/mmm, No. 123

POSCAR file:
```
SrZr2P
1.0
3.361 0.000 0.000
0.000 3.361 0.000
0.000 0.000 9.020
Sr Zr P
1 2 1
Cartesian
0.000 0.000 0.000 Sr
1.680 1.680 3.064 Zr
1.680 1.680 5.955 Zr
0.000 0.000 4.510 P
```

=====

Material: Sr2ZrP
Method: DFT, PBE
State: optimized geometry

Results
Symmetry: I-4m2, No. 119

POSCAR file:
```
Sr2ZrP
1.0
4.624 0.000 0.000
0.000 4.624 0.000
0.000 0.000 10.632
Sr Zr P
4 2 2
Cartesian
0.000 0.000 0.000 Sr
0.000 2.312 2.658 Sr
2.312 0.000 7.974 Sr
2.312 2.312 5.316 Sr
0.000 2.312 7.974 Zr
2.312 0.000 2.658 Zr
0.000 0.000 5.316 P
2.312 2.312 0.000 P
```

=====

Material: SrZrP2
Method: DFT, PBE
State: optimized geometry

Results
Energy above the lowest structure with this stoichiometry (meV per atom): 751
Symmetry: I-4m2, No. 119

POSCAR file:
```
SrZrP2
1.0
4.004 0.000 0.000
0.000 4.004 0.000
0.000 0.000 10.786
Sr Zr P
2 2 4
Cartesian
0.000 0.000 0.000 Sr
2.002 2.002 5.393 Sr
0.000 2.002 8.089 Zr
2.002 0.000 2.696 Zr
0.000 0.000 5.393 P
0.000 2.002 2.696 P
2.002 0.000 8.089 P
2.002 2.002 0.000 P
```

=====

Material: Sr2ZrP
Method: DFT, PBE
State: optimized geometry

Results
Symmetry: I4/mmm, No. 139

POSCAR file:
```
Sr2ZrP
1.0
4.453 0.000 0.000
0.000 4.453 0.000
0.000 0.000 10.686
Sr Zr P
4 2 2
Cartesian
0.000 2.227 2.671 Sr
0.000 2.227 8.014 Sr
2.227 0.000 2.671 Sr
2.227 0.000 8.014 Sr
0.000 0.000 0.000 Zr
2.227 2.227 5.343 Zr
0.000 0.000 5.343 P
2.227 2.227 0.000 P
```

=====

Material: SrZr2P
Method: DFT, PBE
State: optimized geometry

Results
Symmetry: P4mm, No. 99

POSCAR file:
```
SrZr2P
1.0
3.536 0.000 0.000
0.000 3.536 0.000
0.000 0.000 8.119
Sr Zr P
1 2 1
Cartesian
0.000 0.000 0.000 Sr
0.000 0.000 4.793 Zr
1.768 1.768 2.912 Zr
1.768 1.768 5.810 P
```

=====

For each record above, in turn, the calculated ΔH_f (0 K) values are -1.83 -0.94 0.85 -1.83 0.79 -1.83 eV per formula unit.